Record 1
Entry from the Alexandria database: an optimized crystal structure of CaIn2Os (PBE).

The structure belongs to space group I4/mmm (No. 139); the cell edges are 4.619, 4.619 and 7.611 Å and the angles 90.00°, 90.00° and 90.00°. Symmetry generates all atoms from Ca at (0.000, 0.000, 0.000), In at (0.000, 0.500, 0.250) and Os at (0.000, 0.000, 0.500).

The calculation puts the volume at 162 Å³/cell. The value obtained for the formation energy is 0.119 eV/atom.

Record 2
Entry from the Alexandria database: an optimized crystal structure of Ca2InOs (PBE).

The structure belongs to space group R-3m (No. 166, hexagonal axes); the cell edges are 3.3644, 3.3644 and 29.6806 Å and the angles 90.00°, 90.00° and 120.00°. Symmetry generates all atoms from Ca at (0.0000, 0.0000, 0.2385), In at (0.0000, 0.0000, 0.0000) and Os at (0.0000, 0.0000, 0.5000).

The calculation puts the volume at 291 Å³/cell. The value obtained for the formation energy is 0.353 eV/atom.

Record 3
Entry from the Alexandria database: an optimized crystal structure of CaIn2Os (PBE).

The structure belongs to space group R-3m (No. 166, hexagonal axes); the cell edges are 3.3868, 3.3868 and 27.6782 Å and the angles 90.00°, 90.00° and 120.00°. Symmetry generates all atoms from Ca at (0.0000, 0.0000, 0.0000), In at (0.0000, 0.0000, 0.2381) and Os at (0.0000, 0.0000, 0.5000).

The calculation puts the volume at 275 Å³/cell. The value obtained for the formation energy is 0.337 eV/atom.

Record 4
Entry from the Alexandria database: an optimized crystal structure of CaInOs2 (PBE).

The structure belongs to space group P2/m (No. 10); the cell edges are 2.861, 4.776 and 5.490 Å and the angles 90.00°, 96.31° and 90.00°. Symmetry generates all atoms from Ca at (0.000, 0.000, 0.000), In at (0.500, 0.000, 0.500) and Os at (0.290, 0.500, 0.711).

The calculation puts the volume at 75 Å³/cell. The value obtained for the formation energy is 0.645 eV/atom.

Record 5
Entry from the Alexandria database: an optimized crystal structure of CaInOs (PBE).

The structure belongs to space group F-43m (No. 216); the cell edges are 6.619, 6.619 and 6.619 Å and the angles 90.00°, 90.00° and 90.00°. Symmetry generates all atoms from Ca at (0.000, 0.000, 0.000), In at (0.000, 0.000, 0.500) and Os at (0.250, 0.250, 0.750).

The calculation puts the volume at 290 Å³/cell. The value obtained for the formation energy is 0.478 eV/atom.

Record 6
Entry from the Alexandria database: an optimized crystal structure of CaIn2Os (PBE).

The structure belongs to space group Cmmm (No. 65); the cell edges are 5.962, 8.298 and 3.388 Å and the angles 90.00°, 90.00° and 90.00°. Symmetry generates all atoms from Ca at (0.000, 0.000, 0.000), In at (0.250, 0.250, 0.500) and Os at (0.000, 0.500, 0.000).

The calculation puts the volume at 168 Å³/cell. The value obtained for the formation energy is 0.386 eV/atom.

Record 7
Entry from the Alexandria database: an optimized crystal structure of CaIn3Os (PBE).

The structure belongs to space group Pm-3m (No. 221); the cell edges are 5.532, 5.532 and 5.532 Å and the angles 90.00°, 90.00° and 90.00°. Symmetry generates all atoms from Ca at (0.000, 0.000, 0.000), In at (0.000, 0.000, 0.500) and Os at (0.500, 0.500, 0.500).

The calculation puts the volume at 169 Å³/cell. The value obtained for the formation energy is 1.964 eV/atom. The energy above the most stable polymorph in this dataset comes out at 1.885 eV per atom.

Record 8
Entry from the Alexandria database: an optimized crystal structure of CaInOs2 (PBE).

The structure belongs to space group C2/m (No. 12); the cell edges are 5.909, 9.477 and 2.834 Å and the angles 90.00°, 115.63° and 90.00°. Symmetry generates all atoms from Ca at (0.000, 0.000, 0.000), In at (0.000, 0.500, 0.000) and Os at (0.250, 0.250, 0.500).

The calculation puts the volume at 143 Å³/cell. The value obtained for the formation energy is 0.647 eV/atom.